First-principles (GGA-PBE) data for a relaxed SiHg2Ru crystal, as listed in the Alexandria database.

Properties
For the uncorrected energy, the calculation gives -3.2650 eV per atom. The volume is 18.26 Å³ per atom.

Geometry as POSCAR:
```
SiHg2Ru
1.0
3.687 0.000 0.000
0.000 3.687 0.000
0.000 0.000 5.373
Ru Hg Si
1 2 1
Direct
0.500 0.500 0.250
0.000 0.000 0.499
0.000 0.000 0.001
0.500 0.500 0.750
```

First-principles (GGA-PBE) data for a relaxed La3BiBr crystal, as listed in the Alexandria database.

Properties
For the uncorrected energy, the calculation gives -4.6066 eV per atom. The calculation puts the energy above the most stable polymorph in this dataset at 126 meV/atom. The volume is 35.41 Å³ per atom.

Geometry as POSCAR:
```
La3BiBr
1.0
-4.834 0.310 2.841
0.068 -5.568 0.723
2.857 0.656 4.789
La Br Bi
3 1 1
Direct
0.000 0.500 0.000
0.500 0.000 0.000
0.000 0.000 0.500
0.000 0.000 0.000
0.500 0.500 0.500
```

First-principles (GGA-PBE) data for a relaxed Cd2InSi crystal, as listed in the Alexandria database.

Properties
For the uncorrected energy, the calculation gives -2.2133 eV per atom. The calculation puts the energy above the most stable polymorph in this dataset at 34 meV/atom. The volume is 23.12 Å³ per atom.

Geometry as POSCAR:
```
Cd2InSi
1.0
-2.357 3.405 -0.213
-1.521 -0.817 3.770
5.984 7.056 6.225
Cd Si In
4 2 2
Direct
0.375 0.382 0.750
0.618 0.125 0.250
0.875 0.868 0.750
0.132 0.625 0.250
0.500 0.500 0.000
0.250 0.750 0.500
0.000 0.000 0.000
0.750 0.250 0.500
```